[1]
This record from Alexandria describes a crystal of LaMg2CrO relaxed with PBEsol. The functional is SCAN.

ΔE_f (raw), meV/atom: -285
Theoretical density, Mg/m³: 3.72
Electronic total energy, eV/atom: -15.82

Cell and atoms, written as CIF:
```
data_LaMg2CrO
_symmetry_space_group_name_H-M 'P 4/m m m'
_symmetry_Int_Tables_number 123
_symmetry_space_group_name_Hall '-P 4 2'
_cell_length_a 5.662
_cell_length_b 5.662
_cell_length_c 3.553
_cell_angle_alpha 90.00
_cell_angle_beta 90.00
_cell_angle_gamma 90.00
loop_
_atom_site_label
_atom_site_type_symbol
_atom_site_fract_x
_atom_site_fract_y
_atom_site_fract_z
La1 La 0.000 0.000 0.000
Mg1 Mg 0.000 0.500 0.500
Cr1 Cr 0.500 0.500 0.500
O1 O 0.500 0.500 0.000
```

=====

[2]
This record from Alexandria describes a crystal of LaMgCrSb2 relaxed with PBEsol. The functional is SCAN.

ΔE_f (raw), meV/atom: 904
Theoretical density, Mg/m³: 3.71
Electronic total energy, eV/atom: -27.29

Cell and atoms, written as CIF:
```
data_LaMgCrSb2
_symmetry_space_group_name_H-M 'P 4/m m m'
_symmetry_Int_Tables_number 123
_symmetry_space_group_name_Hall '-P 4 2'
_cell_length_a 5.890
_cell_length_b 5.890
_cell_length_c 5.910
_cell_angle_alpha 90.00
_cell_angle_beta 90.00
_cell_angle_gamma 90.00
loop_
_atom_site_label
_atom_site_type_symbol
_atom_site_fract_x
_atom_site_fract_y
_atom_site_fract_z
La1 La 0.000 0.000 0.000
Mg1 Mg 0.000 0.000 0.500
Cr1 Cr 0.500 0.500 0.500
Sb1 Sb 0.000 0.500 0.000
```

=====

[3]
This record from Alexandria describes a crystal of LaMnCr2 relaxed with PBEsol. The functional is SCAN.

Offset from the most stable computed form, meV per atom: 6
Theoretical density, Mg/m³: 6.99
Electronic total energy, eV/atom: -24.10

Cell and atoms, written as CIF:
```
data_LaMnCr2
_symmetry_space_group_name_H-M 'R -3 m'
_symmetry_Int_Tables_number 166
_symmetry_space_group_name_Hall '-R 3 2"'
_cell_length_a 3.8537
_cell_length_b 3.8537
_cell_length_c 16.4918
_cell_angle_alpha 90.00
_cell_angle_beta 90.00
_cell_angle_gamma 120.00
loop_
_atom_site_label
_atom_site_type_symbol
_atom_site_fract_x
_atom_site_fract_y
_atom_site_fract_z
La1 La 0.0000 0.0000 0.0000
Mn1 Mn 0.0000 0.0000 0.5000
Cr1 Cr 0.0000 0.0000 0.1989
```

=====

Which formula does entry 2 have?
LaMgCrSb2